[1]
A plane-wave DFT calculation with PBE-GGA was carried out for Rb3Pt5Br12 after structural relaxation.

Results
raw formation energy	-0.44	eV per atom
spin magnetization	0.98	μB/f.u.

Structure (CIF):
```
data_Rb3Pt5Br12
_chemical_formula_sum 'Rb24 Pt40 Br96'
_cell_length_a 17.2494
_cell_length_b 17.2494
_cell_length_c 17.2494
_cell_angle_alpha 90.00
_cell_angle_beta 90.00
_cell_angle_gamma 90.00
_space_group_name_H-M_alt 'I a -3 d'
_space_group_IT_number 230
_space_group_name_Hall '-I 4bd 2c 3'
loop_
_atom_site_label
_atom_site_type_symbol
_atom_site_fract_x
_atom_site_fract_y
_atom_site_fract_z
Rb1 Rb 0.0000 0.2500 0.1250
Pt1 Pt 0.0000 0.0000 0.0000
Pt2 Pt 0.0000 0.2500 0.3750
Br1 Br 0.0357 0.0442 0.6404
```



[2]
A plane-wave DFT calculation with PBE-GGA was carried out for Mg3Tl4 after structural relaxation.

Results
formation energy	0.19	eV per formula unit
spin magnetization	0.00	μB/f.u.

Structure (CIF):
```
data_Mg3Tl4
_chemical_formula_sum 'Mg12 Tl16'
_cell_length_a 9.0620
_cell_length_b 9.0620
_cell_length_c 9.0620
_cell_angle_alpha 90.00
_cell_angle_beta 90.00
_cell_angle_gamma 90.00
_space_group_name_H-M_alt 'I -4 3 d'
_space_group_IT_number 220
_space_group_name_Hall 'I -4bd 2c 3'
loop_
_atom_site_label
_atom_site_type_symbol
_atom_site_fract_x
_atom_site_fract_y
_atom_site_fract_z
Mg1 Mg 0.0000 0.2500 0.8750
Tl1 Tl 0.0790 0.4210 0.5790
```



[3]
A plane-wave DFT calculation with PBE-GGA was carried out for PaTc2HgO8 after structural relaxation.

Results
raw formation energy	-1.76	eV per atom
spin magnetization	3.04	μB/f.u.

Structure (CIF):
```
data_PaTc2HgO8
_chemical_formula_sum 'Pa1 Tc2 Hg1 O8'
_cell_length_a 6.1028
_cell_length_b 6.1028
_cell_length_c 8.5762
_cell_angle_alpha 90.00
_cell_angle_beta 90.00
_cell_angle_gamma 120.00
_space_group_name_H-M_alt 'P -3 m 1'
_space_group_IT_number 164
_space_group_name_Hall '-P 3 2"'
loop_
_atom_site_label
_atom_site_type_symbol
_atom_site_fract_x
_atom_site_fract_y
_atom_site_fract_z
Pa1 Pa 0.0000 0.0000 0.0000
Tc1 Tc 0.3333 0.6667 0.7765
Hg1 Hg 0.0000 0.0000 0.5000
O1 O 0.1726 0.3453 0.8598
O2 O 0.3333 0.6667 0.5773
```



[4]
A plane-wave DFT calculation with PBE-GGA was carried out for MgSc2 after structural relaxation.

Results
formation energy	1.61	eV per formula unit
spin magnetization	0.03	μB/f.u.

Structure (CIF):
```
data_MgSc2
_chemical_formula_sum 'Mg4 Sc8'
_cell_length_a 6.9615
_cell_length_b 6.9615
_cell_length_c 6.9615
_cell_angle_alpha 90.00
_cell_angle_beta 90.00
_cell_angle_gamma 90.00
_space_group_name_H-M_alt 'F m -3 m'
_space_group_IT_number 225
_space_group_name_Hall '-F 4 2 3'
loop_
_atom_site_label
_atom_site_type_symbol
_atom_site_fract_x
_atom_site_fract_y
_atom_site_fract_z
Mg1 Mg 0.0000 0.0000 0.0000
Sc1 Sc 0.2500 0.2500 0.2500
```



[5]
A plane-wave DFT calculation with PBE-GGA was carried out for Ba2PmTc3O12 after structural relaxation.

Results
raw formation energy	-1.97	eV per atom
spin magnetization	0.33	μB/f.u.

Structure (CIF):
```
data_Ba2PmTc3O12
_chemical_formula_sum 'Ba6 Pm3 Tc9 O36'
_cell_length_a 7.4428
_cell_length_b 7.4428
_cell_length_c 16.2720
_cell_angle_alpha 90.00
_cell_angle_beta 90.00
_cell_angle_gamma 120.00
_space_group_name_H-M_alt 'R -3 m'
_space_group_IT_number 166
_space_group_name_Hall '-R 3 2"'
loop_
_atom_site_label
_atom_site_type_symbol
_atom_site_fract_x
_atom_site_fract_y
_atom_site_fract_z
Ba1 Ba 0.0000 0.0000 0.1137
Pm1 Pm 0.0000 0.0000 0.5000
Tc1 Tc 0.0000 0.5000 0.0000
O1 O 0.0280 0.5140 0.8848
O2 O 0.0809 0.5404 0.3206
```



[6]
A plane-wave DFT calculation with PBE-GGA was carried out for OsIN2F after structural relaxation.

Results
raw formation energy	2.36	eV per atom
spin magnetization	4.28	μB/f.u.

Structure (CIF):
```
data_OsIN2F
_chemical_formula_sum 'Os1 I1 N2 F1'
_cell_length_a 4.1992
_cell_length_b 4.1992
_cell_length_c 4.3018
_cell_angle_alpha 90.00
_cell_angle_beta 90.00
_cell_angle_gamma 90.00
_space_group_name_H-M_alt 'P 4/m m m'
_space_group_IT_number 123
_space_group_name_Hall '-P 4 2'
loop_
_atom_site_label
_atom_site_type_symbol
_atom_site_fract_x
_atom_site_fract_y
_atom_site_fract_z
Os1 Os 0.0000 0.0000 0.0000
I1 I 0.5000 0.5000 0.5000
N1 N 0.0000 0.5000 0.5000
F1 F 0.5000 0.5000 0.0000
```



[7]
A plane-wave DFT calculation with PBE-GGA was carried out for La2ReTcRh after structural relaxation.

Results
formation energy	3.91	eV per formula unit
spin magnetization	0.93	μB/f.u.

Structure (CIF):
```
data_La2ReTcRh
_chemical_formula_sum 'La2 Re1 Tc1 Rh1'
_cell_length_a 5.4639
_cell_length_b 5.4639
_cell_length_c 4.6555
_cell_angle_alpha 90.00
_cell_angle_beta 90.00
_cell_angle_gamma 90.00
_space_group_name_H-M_alt 'P 4/m m m'
_space_group_IT_number 123
_space_group_name_Hall '-P 4 2'
loop_
_atom_site_label
_atom_site_type_symbol
_atom_site_fract_x
_atom_site_fract_y
_atom_site_fract_z
La1 La 0.0000 0.5000 0.0000
Re1 Re 0.0000 0.0000 0.0000
Tc1 Tc 0.0000 0.0000 0.5000
Rh1 Rh 0.5000 0.5000 0.5000
```



[8]
A plane-wave DFT calculation with PBE-GGA was carried out for RbTl3Ga2I6 after structural relaxation.

Results
raw formation energy	-0.68	eV per atom
spin magnetization	0.00	μB/f.u.

Structure (CIF):
```
data_RbTl3Ga2I6
_chemical_formula_sum 'Rb2 Tl6 Ga4 I12'
_cell_length_a 8.6147
_cell_length_b 14.8283
_cell_length_c 8.5788
_cell_angle_alpha 90.00
_cell_angle_beta 109.40
_cell_angle_gamma 90.00
_space_group_name_H-M_alt 'C 1 2/m 1'
_space_group_IT_number 12
loop_
_space_group_symop_operation_xyz
'x,y,z'
'-x,-y,-z'
'-x,y,-z'
'x,-y,z'
'x+1/2,y+1/2,z'
'-x+1/2,-y+1/2,-z'
'-x+1/2,y+1/2,-z'
'x+1/2,-y+1/2,z'
loop_
_atom_site_label
_atom_site_type_symbol
_atom_site_fract_x
_atom_site_fract_y
_atom_site_fract_z
Rb1 Rb 0.0000 0.0000 0.0000
Tl1 Tl 0.0000 0.1613 0.5000
Tl2 Tl 0.0000 0.5000 0.5000
Ga1 Ga 0.0000 0.3332 0.0000
I1 I 0.2229 0.5000 0.2321
I2 I 0.2416 0.3236 0.7562
```



[9]
A plane-wave DFT calculation with PBE-GGA was carried out for HfZrOsAu after structural relaxation.

Results
formation energy	-1.76	eV per formula unit
spin magnetization	0.00	μB/f.u.

Structure (CIF):
```
data_HfZrOsAu
_chemical_formula_sum 'Hf4 Zr4 Os4 Au4'
_cell_length_a 6.6881
_cell_length_b 6.6881
_cell_length_c 6.6881
_cell_angle_alpha 90.00
_cell_angle_beta 90.00
_cell_angle_gamma 90.00
_space_group_name_H-M_alt 'F -4 3 m'
_space_group_IT_number 216
_space_group_name_Hall 'F -4 2 3'
loop_
_atom_site_label
_atom_site_type_symbol
_atom_site_fract_x
_atom_site_fract_y
_atom_site_fract_z
Hf1 Hf 0.0000 0.0000 0.0000
Zr1 Zr 0.0000 0.0000 0.5000
Os1 Os 0.2500 0.2500 0.2500
Au1 Au 0.2500 0.2500 0.7500
```



[10]
A plane-wave DFT calculation with PBE-GGA was carried out for Pm3BiIr after structural relaxation.

Results
formation energy	-2.48	eV per formula unit
spin magnetization	0.00	μB/f.u.

Structure (CIF):
```
data_Pm3BiIr
_chemical_formula_sum 'Pm3 Bi1 Ir1'
_cell_length_a 5.5127
_cell_length_b 5.5127
_cell_length_c 5.5127
_cell_angle_alpha 90.00
_cell_angle_beta 90.00
_cell_angle_gamma 90.00
_space_group_name_H-M_alt 'P m -3 m'
_space_group_IT_number 221
_space_group_name_Hall '-P 4 2 3'
loop_
_atom_site_label
_atom_site_type_symbol
_atom_site_fract_x
_atom_site_fract_y
_atom_site_fract_z
Pm1 Pm 0.0000 0.0000 0.5000
Bi1 Bi 0.5000 0.5000 0.5000
Ir1 Ir 0.0000 0.0000 0.0000
```



[11]
A plane-wave DFT calculation with PBE-GGA was carried out for Tb3Mg9Ag2 after structural relaxation.

Results
formation energy	-1.23	eV per formula unit
spin magnetization	0.00	μB/f.u.

Structure (CIF):
```
data_Tb3Mg9Ag2
_chemical_formula_sum 'Tb6 Mg18 Ag4'
_cell_length_a 4.9290
_cell_length_b 11.0775
_cell_length_c 12.3526
_cell_angle_alpha 90.00
_cell_angle_beta 90.00
_cell_angle_gamma 90.00
_space_group_name_H-M_alt 'I m m m'
_space_group_IT_number 71
_space_group_name_Hall '-I 2 2'
loop_
_atom_site_label
_atom_site_type_symbol
_atom_site_fract_x
_atom_site_fract_y
_atom_site_fract_z
Tb1 Tb 0.0000 0.0000 0.0000
Tb2 Tb 0.0000 0.0000 0.2874
Mg1 Mg 0.0000 0.2761 0.1368
Mg2 Mg 0.0000 0.3678 0.3669
Mg3 Mg 0.0000 0.5000 0.0000
Ag1 Ag 0.0000 0.1545 0.5000
```



[12]
A plane-wave DFT calculation with PBE-GGA was carried out for YCrIr after structural relaxation.

Results
formation energy	0.15	eV per formula unit
spin magnetization	3.94	μB/f.u.

Structure (CIF):
```
data_YCrIr
_chemical_formula_sum 'Y4 Cr4 Ir4'
_cell_length_a 6.4431
_cell_length_b 6.4431
_cell_length_c 6.4431
_cell_angle_alpha 90.00
_cell_angle_beta 90.00
_cell_angle_gamma 90.00
_space_group_name_H-M_alt 'F -4 3 m'
_space_group_IT_number 216
_space_group_name_Hall 'F -4 2 3'
loop_
_atom_site_label
_atom_site_type_symbol
_atom_site_fract_x
_atom_site_fract_y
_atom_site_fract_z
Y1 Y 0.0000 0.0000 0.0000
Cr1 Cr 0.0000 0.0000 0.5000
Ir1 Ir 0.2500 0.2500 0.2500
```